Density functional theory data (GGA-PBE) for an optimized crystal structure of Cs3LiTc2O8.

Cell: 6.3069 6.3069 8.3158 Å, 90.00 90.00 120.00°
Closest atoms and distances in Å follow each position.
Space group P-3m1 (No. 164)
One atom of each set of equivalent atoms:
Cs  0.0000  0.0000  0.0000 (multiplicity 1)  12 O 3.34-3.65
Cs  0.3333  0.6667  0.6789 (multiplicity 2)  7 O 2.97-3.16
Li  0.0000  0.0000  0.5000 (multiplicity 1)  6 O 2.43
Tc  0.3333  0.6667  0.2491 (multiplicity 2)  4 O 1.77-1.81
O  0.1786  0.3572  0.3254 (multiplicity 6)  1 Tc 1.81
O  0.3333  0.6667  0.0358 (multiplicity 2)  1 Tc 1.77

## Properties
- Calculated total energy: -6.2780 eV per atom
- Uncorrected formation energy: -1.644 eV/atom